A relaxed CuTcTe2 crystal. Source: Alexandria via LeMat-Bulk, functional PBE.

abc: 5.6587 5.6587 5.6587
angles: 138.70 138.70 59.84
Fractional positions:
1 Cu 0.5000 0.5000 0.0000
2 Tc 0.7500 0.2500 0.5000
3 Te 0.0000 0.0000 0.0000
4 Te 0.2500 0.7500 0.5000

Mass density in g cm⁻³: 8.86
Formation energy (no corrections) in kJ/mol of atoms: 61
Calculated total energy in hartree per atom: -0.167
Symmetry: I-4m2 (119)
Energy relative to the lowest polymorph listed for this composition in eV/f.u.: 1.99